Here is a relaxed structure of Ca3Mn3ZnO8 from Alexandria via LeMat-Bulk. Energies are from GGA+U.

Output
symmetry: No. 12
E: -6.65 eV/atom
calculated volume: 186.5 Å³/cell

Structure (CIF):
```
data_Ca3Mn3ZnO8
_chemical_formula_sum 'Ca3 Mn3 Zn1 O8'
_space_group_name_H-M_alt 'P 1'
_space_group_IT_number 1
_space_group_name_Hall 'P 1'
_cell_length_a 6.4892
_cell_length_b 6.2938
_cell_length_c 6.5284
_cell_angle_alpha 119.65
_cell_angle_beta 89.98
_cell_angle_gamma 121.05
loop_
_atom_site_label
_atom_site_fract_x
_atom_site_fract_y
_atom_site_fract_z
Ca1 0.0000 0.0000 0.0000
Ca2 0.0000 0.5000 0.0000
Ca3 0.5000 0.5000 0.0000
Mn1 0.5000 0.0000 0.5000
Mn2 0.5000 0.5000 0.5000
Mn3 0.0000 0.5000 0.5000
Zn1 0.0000 0.0000 0.5000
O1 0.2552 0.5106 0.2507
O2 0.7448 0.4894 0.7493
O3 0.7565 0.5134 0.2956
O4 0.2435 0.4866 0.7044
O5 0.7844 0.0489 0.2945
O6 0.2156 0.9511 0.7055
O7 0.2644 0.0488 0.2944
O8 0.7356 0.9512 0.7056
```